# Ac3SmRu PBE optimized geometry
# Volume (Å³/f.u.): 193.4
# Calculated formation energy (meV/atom): -3
# Spin magnetization (μB/f.u.): 0.00
data_Ac3SmRu
_chemical_formula_sum 'Ac3 Sm1 Ru1'
_cell_length_a 5.7833
_cell_length_b 5.7833
_cell_length_c 5.7833
_cell_angle_alpha 90.00
_cell_angle_beta 90.00
_cell_angle_gamma 90.00
_symmetry_space_group_name_H-M 'P m -3 m'
_symmetry_Int_Tables_number 221
_symmetry_space_group_name_Hall '-P 4 2 3'
loop_
_atom_site_label
_atom_site_type_symbol
_atom_site_fract_x
_atom_site_fract_y
_atom_site_fract_z
Ac1 Ac 0.0000 0.0000 0.5000
Sm1 Sm 0.5000 0.5000 0.5000
Ru1 Ru 0.0000 0.0000 0.0000